A | Computed, not measured: a relaxed structure of AlOsRh at the GGA-PBE level of DFT.

Cell lengths 2.7672, 2.7672, 6.3869 Å; angles 90.00, 90.00, 120.00 degrees
With the nearest neighbours (Å) after each atom.
Space group P3m1 (No. 156)
One atom of each set of equivalent atoms:
Al 0.0000 0.0000 0.0000 x1  3 Rh 2.59, 3 Os 2.67, 6 Al 2.77
Os 0.6667 0.3333 0.3341 x1  3 Al 2.67, 3 Rh 2.73, 6 Os 2.77
Rh 0.3333 0.6667 0.6809 x1  3 Al 2.59, 3 Os 2.73, 6 Rh 2.77

Results
Spin magnetization (μB per cell): 0.0
Volume (Å³/cell): 42



B | Computed, not measured: a relaxed structure of AlOsRh at the GGA-PBE level of DFT.

Cell lengths 2.7595, 2.7595, 11.1226 Å; angles 90.00, 90.00, 90.00 degrees
With the nearest neighbours (Å) after each atom.
Space group I4mm (No. 107)
One atom of each set of equivalent atoms:
Al 0.0000 0.0000 0.0000 x2  4 Rh 2.68, 4 Os 2.70, 4 Al 2.76
Os 0.0000 0.0000 0.3316 x2  4 Rh 2.69, 4 Al 2.70, 4 Os 2.76
Rh 0.0000 0.0000 0.6656 x2  4 Al 2.68, 4 Os 2.69, 4 Rh 2.76

Results
Spin magnetization (μB per cell): 0.0
Volume (Å³/cell): 85



Quick one: least stable of them? A



A | Computed, not measured: a relaxed structure of AlOsRh3 at the GGA-PBE level of DFT.

Cell lengths 4.7035, 4.7035, 4.7035 Å; angles 90.00, 90.00, 90.00 degrees
With the nearest neighbours (Å) after each atom.
Space group Pm-3m (No. 221)
One atom of each set of equivalent atoms:
Al 0.0000 0.0000 0.0000 x1  12 Rh 3.33
Os 0.5000 0.5000 0.5000 x1  6 Rh 2.35
Rh 0.0000 0.5000 0.5000 x3  2 Os 2.35

Results
Spin magnetization (μB per cell): 0.0
Volume (Å³/cell): 104



B | Computed, not measured: a relaxed structure of AlOsRh3 at the GGA-PBE level of DFT.

Cell lengths 4.3708, 4.3708, 4.3708 Å; angles 90.00, 90.00, 90.00 degrees
With the nearest neighbours (Å) after each atom.
Space group Pm-3m (No. 221)
One atom of each set of equivalent atoms:
Al 0.0000 0.0000 0.0000 x1  6 Rh 2.19
Os 0.5000 0.5000 0.5000 x1  12 Rh 3.09
Rh 0.0000 0.0000 0.5000 x3  2 Al 2.19

Results
Spin magnetization (μB per cell): 3.8
Volume (Å³/cell): 84



Quick one: least stable of them? A